Record 1
Material: Mg9Sn11Rh4
Method: DFT, PBE
State: optimized geometry

a = 4.2632 Å, b = 11.3533 Å, c = 11.3533 Å
α = 107.48°, β = 90.00°, γ = 90.00°
Atoms (fractional coordinates):
1 Sn 0.0000 0.3195 0.3195
2 Sn 0.0000 0.6245 0.3755
3 Sn 0.0000 0.0000 0.0000
4 Sn 0.0000 0.6805 0.6805
5 Sn 0.0000 0.9251 0.5927
6 Sn 0.0000 0.3755 0.6245
7 Sn 0.0000 0.4073 0.0749
8 Sn 0.0000 0.0749 0.4073
9 Sn 0.0000 0.8195 0.1805
10 Sn 0.0000 0.5927 0.9251
11 Sn 0.0000 0.1805 0.8195
12 Mg 0.5000 0.6149 0.1562
13 Mg 0.5000 0.8438 0.3851
14 Mg 0.5000 0.5000 0.5000
15 Mg 0.5000 0.3851 0.8438
16 Mg 0.5000 0.9623 0.7957
17 Mg 0.5000 0.1562 0.6149
18 Mg 0.5000 0.0377 0.2043
19 Mg 0.5000 0.7957 0.9623
20 Mg 0.5000 0.2043 0.0377
21 Rh 0.5000 0.7693 0.5885
22 Rh 0.5000 0.4115 0.2307
23 Rh 0.5000 0.2307 0.4115
24 Rh 0.5000 0.5885 0.7693

Fermi-level density of states ... 9.406 states/eV/cell
Magnetization ... 0.000 Bohr magnetons per cell
Energy ... -3.908 eV/atom
Formation energy from the elements ... -0.25 eV/atom

***

Record 2
Material: Mg3SnRh
Method: DFT, PBE
State: optimized geometry

a = 6.7811 Å, b = 6.7811 Å, c = 6.5894 Å
α = 106.03°, β = 116.56°, γ = 107.30°
Atoms (fractional coordinates):
1 Mg 0.7002 0.4506 0.1508
2 Mg 0.1372 0.9550 0.7177
3 Mg 0.2998 0.5494 0.8492
4 Mg 0.8628 0.0450 0.2823
5 Mg 0.2373 0.4195 0.2823
6 Mg 0.7627 0.5805 0.7177
7 Sn 0.2936 0.9132 0.2068
8 Sn 0.7064 0.0868 0.7932
9 Rh 0.6299 0.7645 0.3944
10 Rh 0.3701 0.2355 0.6056

Polymorph energy (0 for the lowest one) ... 0.133 eV/atom
Fermi-level density of states ... 4.503 states/eV/cell
Magnetization ... 0.000 Bohr magnetons per cell
Energy ... -3.485 eV/atom
Formation energy from the elements ... -0.26 eV/atom

***

Record 3
Material: MgSnRh3
Method: DFT, PBE
State: optimized geometry

a = 4.5074 Å, b = 4.5074 Å, c = 4.5074 Å
α = 90.00°, β = 90.00°, γ = 90.00°
Atoms (fractional coordinates):
1 Mg 0.0000 0.0000 0.0000
2 Rh 0.0000 0.0000 0.5000
3 Rh 0.0000 0.5000 0.0000
4 Rh 0.5000 0.0000 0.0000
5 Sn 0.5000 0.5000 0.5000

Polymorph energy (0 for the lowest one) ... 0.000 eV/atom
Fermi-level density of states ... 7.155 states/eV/cell
Magnetization ... 0.001 Bohr magnetons per cell
Energy ... -4.884 eV/atom
Formation energy from the elements ... 0.65 eV/atom

***

Record 4
Material: Mg3Sn4Rh4
Method: DFT, PBE
State: optimized geometry

a = 3.1737 Å, b = 8.3373 Å, c = 8.9983 Å
α = 117.60°, β = 100.16°, γ = 90.00°
Atoms (fractional coordinates):
1 Mg 0.0928 0.0928 0.1857
2 Mg 0.0000 0.5000 0.0000
3 Mg 0.9072 0.9072 0.8143
4 Sn 0.6626 0.8631 0.3253
5 Sn 0.3374 0.5378 0.6747
6 Sn 0.3374 0.1369 0.6747
7 Sn 0.6626 0.4622 0.3253
8 Rh 0.7452 0.2452 0.4903
9 Rh 0.5000 0.7810 0.0000
10 Rh 0.2548 0.7548 0.5097
11 Rh 0.5000 0.2190 0.0000

Fermi-level density of states ... 5.386 states/eV/cell
Magnetization ... 0.000 Bohr magnetons per cell
Energy ... -5.000 eV/atom
Formation energy from the elements ... -0.44 eV/atom

***

Record 5
Material: MgSn2Rh2
Method: DFT, PBE
State: optimized geometry

a = 4.6093 Å, b = 6.1609 Å, c = 7.7706 Å
α = 113.36°, β = 107.25°, γ = 90.00°
Atoms (fractional coordinates):
1 Rh 0.1648 0.6567 0.8296
2 Rh 0.1648 0.1729 0.8296
3 Rh 0.8352 0.3433 0.1704
4 Rh 0.8352 0.8271 0.1704
5 Sn 0.3421 0.5921 0.1841
6 Sn 0.6579 0.4079 0.8159
7 Sn 0.9944 0.2444 0.4888
8 Sn 0.0056 0.7556 0.5112
9 Mg 0.3307 0.0807 0.1614
10 Mg 0.6693 0.9193 0.8386

Fermi-level density of states ... 6.736 states/eV/cell
Magnetization ... 0.000 Bohr magnetons per cell
Energy ... -5.295 eV/atom
Formation energy from the elements ... -0.43 eV/atom

***

Record 6
Material: MgSn3Rh2
Method: DFT, PBE
State: optimized geometry

a = 6.5838 Å, b = 6.2675 Å, c = 7.7976 Å
α = 66.40°, β = 65.03°, γ = 90.01°
Atoms (fractional coordinates):
1 Rh 0.6403 0.4367 0.7194
2 Rh 0.8600 0.1574 0.2800
3 Rh 0.3597 0.5633 0.2806
4 Rh 0.1400 0.8426 0.7200
5 Sn 0.4728 0.2229 0.5533
6 Sn 0.5272 0.7771 0.4467
7 Sn 0.2502 0.5000 0.0000
8 Sn 0.9740 0.2229 0.5534
9 Sn 0.7498 0.5000 0.0000
10 Sn 0.0260 0.7771 0.4466
11 Mg 0.0000 0.0000 0.0000
12 Mg 0.5000 0.0000 0.0000

Polymorph energy (0 for the lowest one) ... 0.000 eV/atom
Fermi-level density of states ... 5.769 states/eV/cell
Magnetization ... 0.000 Bohr magnetons per cell
Energy ... -5.066 eV/atom
Formation energy from the elements ... -0.35 eV/atom

***

Record 7
Material: Mg8Sn2Rh
Method: DFT, PBE
State: optimized geometry

a = 4.8109 Å, b = 6.8500 Å, c = 8.3084 Å
α = 113.46°, β = 106.83°, γ = 90.00°
Atoms (fractional coordinates):
1 Mg 0.3587 0.1033 0.7173
2 Mg 0.3809 0.6011 0.7618
3 Mg 0.0080 0.7826 0.0160
4 Mg 0.1783 0.2056 0.3566
5 Mg 0.8217 0.7944 0.6434
6 Mg 0.6191 0.3989 0.2382
7 Mg 0.9920 0.2174 0.9840
8 Mg 0.6413 0.8967 0.2827
9 Rh 0.5000 0.0000 0.0000
10 Sn 0.1811 0.6781 0.3622
11 Sn 0.8189 0.3219 0.6378

Fermi-level density of states ... 3.186 states/eV/cell
Magnetization ... 0.000 Bohr magnetons per cell
Energy ... -2.771 eV/atom
Formation energy from the elements ... -0.22 eV/atom

***

Record 8
Material: Mg5SnRh
Method: DFT, PBE
State: optimized geometry

a = 4.3792 Å, b = 4.3792 Å, c = 7.7297 Å
α = 90.00°, β = 90.00°, γ = 90.00°
Atoms (fractional coordinates):
1 Mg 0.5000 0.0000 0.7448
2 Mg 0.0000 0.5000 0.2552
3 Mg 0.0000 0.0000 0.5000
4 Mg 0.0000 0.5000 0.7448
5 Mg 0.5000 0.0000 0.2552
6 Rh 0.5000 0.5000 0.5000
7 Sn 0.0000 0.0000 0.0000

Fermi-level density of states ... 2.701 states/eV/cell
Magnetization ... 0.000 Bohr magnetons per cell
Energy ... -2.956 eV/atom
Formation energy from the elements ... -0.19 eV/atom

***

Record 9
Material: Mg6Sn2Rh
Method: DFT, PBE
State: optimized geometry

a = 3.4604 Å, b = 8.0149 Å, c = 8.0154 Å
α = 120.01°, β = 90.00°, γ = 90.00°
Atoms (fractional coordinates):
1 Mg 0.0000 0.0000 0.2542
2 Mg 0.5000 0.0000 0.6408
3 Mg 0.5000 0.6407 0.0000
4 Mg 0.0000 0.7458 0.7458
5 Mg 0.5000 0.3592 0.3592
6 Mg 0.0000 0.2542 0.0000
7 Sn 0.0000 0.3333 0.6666
8 Sn 0.0000 0.6667 0.3334
9 Rh 0.5000 0.0001 0.0000

Polymorph energy (0 for the lowest one) ... 0.000 eV/atom
Fermi-level density of states ... 3.877 states/eV/cell
Magnetization ... 0.000 Bohr magnetons per cell
Energy ... -3.046 eV/atom
Formation energy from the elements ... -0.28 eV/atom

***

Record 10
Material: Mg2SnRh3
Method: DFT, PBE
State: optimized geometry

a = 4.4619 Å, b = 4.4619 Å, c = 5.4503 Å
α = 90.00°, β = 90.00°, γ = 120.00°
Atoms (fractional coordinates):
1 Rh 0.0000 0.0000 0.5000
2 Rh 0.3333 0.6667 0.1603
3 Rh 0.6667 0.3333 0.8397
4 Mg 0.3333 0.6667 0.6543
5 Mg 0.6667 0.3333 0.3457
6 Sn 0.0000 0.0000 0.0000

Fermi-level density of states ... 2.459 states/eV/cell
Magnetization ... 0.000 Bohr magnetons per cell
Energy ... -5.518 eV/atom
Formation energy from the elements ... -0.64 eV/atom

***

Record 11
Material: MgSn2Rh
Method: DFT, PBE
State: optimized geometry

a = 3.3589 Å, b = 3.3589 Å, c = 9.7275 Å
α = 80.06°, β = 80.06°, γ = 60.00°
Atoms (fractional coordinates):
1 Rh 0.5000 0.5000 0.5000
2 Mg 0.0000 0.0000 0.0000
3 Sn 0.8999 0.8999 0.3002
4 Sn 0.1001 0.1001 0.6998

Fermi-level density of states ... 3.049 states/eV/cell
Magnetization ... 0.000 Bohr magnetons per cell
Energy ... -4.357 eV/atom
Formation energy from the elements ... -0.12 eV/atom

***

Record 12
Material: MgSn3Rh2
Method: DFT, PBE
State: optimized geometry

a = 6.5194 Å, b = 6.5608 Å, c = 6.5608 Å
α = 120.00°, β = 90.00°, γ = 90.00°
Atoms (fractional coordinates):
1 Sn 0.2973 0.1695 0.3389
2 Sn 0.2973 0.1695 0.8305
3 Sn 0.7027 0.8305 0.1695
4 Sn 0.7027 0.8305 0.6611
5 Sn 0.2973 0.6611 0.8305
6 Sn 0.7027 0.3389 0.1695
7 Mg 0.7047 0.3333 0.6667
8 Mg 0.2953 0.6667 0.3333
9 Rh 0.0000 0.0000 0.5000
10 Rh 0.0000 0.5000 0.0000
11 Rh 0.0000 0.0000 0.0000
12 Rh 0.0000 0.5000 0.5000

Polymorph energy (0 for the lowest one) ... 0.087 eV/atom
Fermi-level density of states ... 5.844 states/eV/cell
Magnetization ... 0.000 Bohr magnetons per cell
Energy ... -4.979 eV/atom
Formation energy from the elements ... -0.26 eV/atom